# PBE Ce2AgC, relaxed
# Space group: R-3m, No. 166
# Relative energy among the computed polymorphs (kcal/mol of atoms): 3.78
# Crystal system: trigonal
# Total moment (Bohr magnetons per cell): 1.370
# D(E_F) (states/eV per cell): 6.68
# ΔH_f (0 K) (kJ/mol of formula units): 16
# Energy (eV per atom): -5.945
data_Ce2AgC
_cell_length_a 3.368
_cell_length_b 3.368
_cell_length_c 9.450
_cell_angle_alpha 79.74
_cell_angle_beta 79.74
_cell_angle_gamma 60.00
_space_group_name_H-M_alt 'P 1'
_space_group_IT_number 1
loop_
_space_group_symop_operation_xyz
'x,y,z'
loop_
_atom_site_label
_atom_site_fract_x
_atom_site_fract_y
_atom_site_fract_z
Ce1 0.114 0.114 0.659
Ce2 0.886 0.886 0.341
Ag1 0.000 0.000 0.000
C1 0.500 0.500 0.500

# PBE Sm6Dy12Ho, relaxed
# Space group: R-3m, No. 166
# Relative energy among the computed polymorphs (kcal/mol of atoms): 0.00
# Crystal system: trigonal
# Total moment (Bohr magnetons per cell): 0.000
# D(E_F) (states/eV per cell): 29.70
# ΔH_f (0 K) (kJ/mol of formula units): 227
# Energy (eV per atom): -4.514
data_Sm6Dy12Ho
_cell_length_a 8.654
_cell_length_b 8.654
_cell_length_c 8.654
_cell_angle_alpha 79.67
_cell_angle_beta 79.67
_cell_angle_gamma 79.67
_space_group_name_H-M_alt 'P 1'
_space_group_IT_number 1
loop_
_space_group_symop_operation_xyz
'x,y,z'
loop_
_atom_site_label
_atom_site_fract_x
_atom_site_fract_y
_atom_site_fract_z
Dy1 0.196 0.515 0.515
Dy2 0.513 0.864 0.864
Dy3 0.515 0.196 0.515
Dy4 0.485 0.804 0.485
Dy5 0.487 0.136 0.136
Dy6 0.804 0.485 0.485
Dy7 0.136 0.487 0.136
Dy8 0.485 0.485 0.804
Dy9 0.136 0.136 0.487
Dy10 0.864 0.513 0.864
Dy11 0.515 0.515 0.196
Dy12 0.864 0.864 0.513
Sm1 0.769 0.162 0.769
Sm2 0.231 0.838 0.231
Sm3 0.769 0.769 0.162
Sm4 0.162 0.769 0.769
Sm5 0.231 0.231 0.838
Sm6 0.838 0.231 0.231
Ho1 0.000 0.000 0.000

# PBE UTi2O6, relaxed
# Space group: P4_2/mnm, No. 136
# Relative energy among the computed polymorphs (kcal/mol of atoms): 1.39
# Crystal system: tetragonal
# Formation energy without anion corrections (eV per atom): -3.0453
# Total moment (Bohr magnetons per cell): 4.035
# D(E_F) (states/eV per cell): 12.46
# Energy (eV per atom): -9.359
data_UTi2O6
_cell_length_a 4.810
_cell_length_b 4.810
_cell_length_c 9.500
_cell_angle_alpha 90.00
_cell_angle_beta 90.00
_cell_angle_gamma 90.00
_space_group_name_H-M_alt 'P 1'
_space_group_IT_number 1
loop_
_space_group_symop_operation_xyz
'x,y,z'
loop_
_atom_site_label
_atom_site_fract_x
_atom_site_fract_y
_atom_site_fract_z
O1 0.202 0.798 0.680
O2 0.183 0.817 0.000
O3 0.702 0.702 0.820
O4 0.702 0.702 0.180
O5 0.817 0.183 0.000
O6 0.298 0.298 0.180
O7 0.202 0.798 0.320
O8 0.298 0.298 0.820
O9 0.798 0.202 0.680
O10 0.317 0.317 0.500
O11 0.683 0.683 0.500
O12 0.798 0.202 0.320
Ti1 0.000 0.000 0.832
Ti2 0.000 0.000 0.168
Ti3 0.500 0.500 0.332
Ti4 0.500 0.500 0.668
U1 0.500 0.500 0.000
U2 0.000 0.000 0.500

# PBE UO4, relaxed
# Space group: Cmce, No. 64
# Relative energy among the computed polymorphs (kcal/mol of atoms): 0.55
# Crystal system: orthorhombic
# Formation energy without anion corrections (eV per atom): -1.9521
# Total moment (Bohr magnetons per cell): 0.000
# D(E_F) (states/eV per cell): 8.61
# Energy (eV per atom): -8.176
data_UO4
_cell_length_a 6.316
_cell_length_b 6.316
_cell_length_c 6.916
_cell_angle_alpha 90.00
_cell_angle_beta 90.00
_cell_angle_gamma 143.31
_space_group_name_H-M_alt 'P 1'
_space_group_IT_number 1
loop_
_space_group_symop_operation_xyz
'x,y,z'
loop_
_atom_site_label
_atom_site_fract_x
_atom_site_fract_y
_atom_site_fract_z
O1 0.651 0.349 0.497
O2 0.501 0.499 0.834
O3 0.349 0.651 0.503
O4 0.849 0.151 0.997
O5 0.001 0.999 0.666
O6 0.499 0.501 0.166
O7 0.151 0.849 0.003
O8 0.999 0.001 0.334
U1 0.000 0.000 0.000
U2 0.500 0.500 0.500

# PBE AcH8PtRh4, relaxed
# Space group: R3m, No. 160
# Crystal system: trigonal
# Total moment (Bohr magnetons per cell): 0.000
# D(E_F) (states/eV per cell): 4.09
# Energy (eV per atom): -4.929
data_AcH8PtRh4
_cell_length_a 5.773
_cell_length_b 5.773
_cell_length_c 5.783
_cell_angle_alpha 60.06
_cell_angle_beta 60.06
_cell_angle_gamma 60.00
_space_group_name_H-M_alt 'P 1'
_space_group_IT_number 1
loop_
_space_group_symop_operation_xyz
'x,y,z'
loop_
_atom_site_label
_atom_site_fract_x
_atom_site_fract_y
_atom_site_fract_z
H1 0.217 0.217 0.349
H2 0.216 0.881 0.688
H3 0.695 0.695 0.334
H4 0.216 0.216 0.688
H5 0.695 0.276 0.334
H6 0.276 0.695 0.334
H7 0.881 0.216 0.688
H8 0.767 0.767 0.700
Ac1 0.381 0.381 0.856
Rh1 0.632 0.632 0.103
Rh2 0.004 0.004 0.475
Rh3 0.004 0.516 0.475
Rh4 0.516 0.004 0.475
Pt1 0.001 0.001 0.998

# PBE Ho2Sc8Os, relaxed
# Space group: C2/m, No. 12
# Crystal system: monoclinic
# Total moment (Bohr magnetons per cell): 0.000
# D(E_F) (states/eV per cell): 17.76
# ΔH_f (0 K) (kJ/mol of formula units): -84
# Energy (eV per atom): -6.537
data_Ho2Sc8Os
_cell_length_a 4.990
_cell_length_b 6.250
_cell_length_c 8.938
_cell_angle_alpha 86.19
_cell_angle_beta 106.21
_cell_angle_gamma 90.00
_space_group_name_H-M_alt 'P 1'
_space_group_IT_number 1
loop_
_space_group_symop_operation_xyz
'x,y,z'
loop_
_atom_site_label
_atom_site_fract_x
_atom_site_fract_y
_atom_site_fract_z
Ho1 0.776 0.666 0.552
Ho2 0.224 0.334 0.448
Sc1 0.841 0.161 0.682
Sc2 0.159 0.839 0.318
Sc3 0.418 0.387 0.836
Sc4 0.969 0.772 0.939
Sc5 0.645 0.107 0.289
Sc6 0.355 0.893 0.711
Sc7 0.031 0.228 0.061
Sc8 0.582 0.613 0.164
Os1 0.500 0.000 0.000